Material: Ca2CN3
Method: DFT, PBE-GGA
State: relaxed

Structure (CIF):
```
data_Ca2CN3
_chemical_formula_sum 'Ca4 C2 N6'
_symmetry_space_group_name_H-M 'P 1'
_symmetry_Int_Tables_number 1
_cell_length_a 6.027
_cell_length_b 6.027
_cell_length_c 6.308
_cell_angle_alpha 107.09
_cell_angle_beta 107.09
_cell_angle_gamma 112.64
loop_
_symmetry_equiv_pos_as_xyz
'x,y,z'
loop_
_atom_site_label
_atom_site_type_symbol
_atom_site_fract_x
_atom_site_fract_y
_atom_site_fract_z
Ca1 Ca 0.250 0.750 0.500
Ca2 Ca 0.740 0.740 0.000
Ca3 Ca 0.750 0.250 0.500
Ca4 Ca 0.260 0.260 0.000
C1 C 0.715 0.715 0.430
C2 C 0.285 0.285 0.570
N1 N 0.531 0.765 0.296
N2 N 0.235 0.469 0.704
N3 N 0.469 0.235 0.704
N4 N 0.765 0.531 0.296
N5 N 0.159 0.159 0.319
N6 N 0.841 0.841 0.681
```

## Properties
The value obtained for the formation energy (no corrections) is -0.57 eV/atom. Its space group is Fmmm (69). The energy is -83.24 eV for the cell shown. The calculated density comes out at 2.48 g cm⁻³.